Entry 1:
A relaxed structure of LiRe2Rh. Source: the Alexandria database, functional GGA-PBE.

- Calculated formation energy: 4.5 kcal/mol of atoms
- Space-group type: R-3m
- Size of the total moment: 0.00 μB per cell

a b c (Å): 9.3786 9.3786 9.3786
angles (deg): 16.67 16.67 16.67
Closest atoms and distances in Å follow each position.
Fractional coordinates of all 4 atoms:
Li (0.0000, 0.0000, 0.0000)  6 Li 2.72, 6 Re 2.88
Re (0.2463, 0.2463, 0.2463)  3 Rh 2.71, 6 Re 2.72, 3 Li 2.88
Re (0.7537, 0.7537, 0.7537)  3 Rh 2.71, 6 Re 2.72, 3 Li 2.88
Rh (0.5000, 0.5000, 0.5000)  6 Re 2.71, 6 Rh 2.72


Entry 2:
A relaxed structure of LiRe2Rh. Source: the Alexandria database, functional GGA-PBE.

- Calculated formation energy: 4.1 kcal/mol of atoms
- Space-group type: Cmm2
- Size of the total moment: 0.00 μB per cell

a b c (Å): 2.6818 2.6818 9.0601
angles (deg): 90.00 90.00 115.48
Closest atoms and distances in Å follow each position.
Fractional coordinates of all 4 atoms:
Li (0.0000, 0.0000, 0.0000)  2 Rh 2.62, 6 Li 2.68-2.86, 2 Re 2.76
Re (0.0000, 0.0000, 0.5074)  8 Re 2.66-2.86, 2 Rh 2.68
Re (0.5000, 0.5000, 0.2605)  8 Re 2.66-2.86, 2 Li 2.76
Rh (0.5000, 0.5000, 0.7581)  2 Li 2.62, 6 Rh 2.68-2.86, 2 Re 2.68


Entry 3:
A relaxed structure of Li2ReRh. Source: the Alexandria database, functional GGA-PBE.

- Calculated formation energy: 4.0 kcal/mol of atoms
- Space-group type: P4/mmm
- Size of the total moment: 0.01 μB per cell

a b c (Å): 2.5449 2.5449 8.6881
angles (deg): 90.00 90.00 90.00
Closest atoms and distances in Å follow each position.
Fractional coordinates of all 4 atoms:
Li (0.0000, 0.0000, 0.2403)  4 Li 2.54, 4 Rh 2.76
Li (0.0000, 0.0000, 0.7597)  4 Li 2.54, 4 Rh 2.76
Re (0.5000, 0.5000, 0.5000)  4 Re 2.54
Rh (0.5000, 0.5000, 0.0000)  4 Rh 2.54, 8 Li 2.76


Entry 4:
A relaxed structure of Li4ReRh. Source: the Alexandria database, functional GGA-PBE.

- Calculated formation energy: 8.8 kcal/mol of atoms
- Space-group type: F-43m
- Size of the total moment: 2.07 μB per cell

a b c (Å): 4.7159 4.7159 4.7159
angles (deg): 60.00 60.00 60.00
Closest atoms and distances in Å follow each position.
Fractional coordinates of all 6 atoms:
Li (0.1252, 0.1252, 0.1252)  6 Li 2.35-2.36
Li (0.1252, 0.1252, 0.6243)  6 Li 2.35-2.36
Li (0.1252, 0.6243, 0.1252)  6 Li 2.35-2.36
Li (0.6243, 0.1252, 0.1252)  6 Li 2.35-2.36
Re (0.7500, 0.7500, 0.7500)  12 Li 2.77, 4 Rh 2.89
Rh (0.5000, 0.5000, 0.5000)  12 Li 2.76, 4 Re 2.89


Entry 5:
A relaxed structure of Li2ReRh. Source: the Alexandria database, functional GGA-PBE.

- Calculated formation energy: 2.0 kcal/mol of atoms
- Space-group type: Cmmm
- Size of the total moment: 0.53 μB per cell

a b c (Å): 2.6387 2.6387 9.2075
angles (deg): 90.00 90.00 118.06
Closest atoms and distances in Å follow each position.
Fractional coordinates of all 4 atoms:
Li (0.0000, 0.0000, 0.2403)  2 Rh 2.60, 6 Li 2.64-2.72, 2 Re 2.75
Li (0.0000, 0.0000, 0.7597)  2 Rh 2.60, 6 Li 2.64-2.72, 2 Re 2.75
Re (0.5000, 0.5000, 0.5000)  6 Re 2.64-2.72, 4 Li 2.75
Rh (0.5000, 0.5000, 0.0000)  4 Li 2.60, 6 Rh 2.64-2.72


Entry 6:
A relaxed structure of LiRe2Rh. Source: the Alexandria database, functional GGA-PBE.

- Calculated formation energy: 19.3 kcal/mol of atoms
- Space-group type: I-42d
- Size of the total moment: 0.00 μB per cell

a b c (Å): 5.6933 5.6933 5.6933
angles (deg): 100.61 100.61 129.19
Closest atoms and distances in Å follow each position.
Fractional coordinates of all 8 atoms:
Li (0.0000, 0.0000, 0.0000)  2 Rh 2.44
Li (0.7500, 0.2500, 0.5000)  2 Rh 2.44
Re (0.1599, 0.6250, 0.0349)  2 Rh 2.48, 2 Re 2.49
Re (0.3750, 0.4099, 0.5349)  2 Rh 2.48, 2 Re 2.49
Re (0.5901, 0.1250, 0.9651)  2 Rh 2.48, 2 Re 2.49
Re (0.8750, 0.8401, 0.4651)  2 Rh 2.48, 2 Re 2.49
Rh (0.2500, 0.7500, 0.5000)  2 Li 2.44, 4 Re 2.48
Rh (0.5000, 0.5000, 0.0000)  2 Li 2.44, 4 Re 2.48


Entry 7:
A relaxed structure of Li2ReRh. Source: the Alexandria database, functional GGA-PBE.

- Calculated formation energy: 2.7 kcal/mol of atoms
- Space-group type: R-3m
- Size of the total moment: 1.05 μB per cell

a b c (Å): 9.2747 9.2747 9.2747
angles (deg): 16.57 16.57 16.57
Closest atoms and distances in Å follow each position.
Fractional coordinates of all 4 atoms:
Li (0.2462, 0.2462, 0.2462)  6 Li 2.67, 3 Rh 2.67, 3 Re 2.84
Li (0.7538, 0.7538, 0.7538)  6 Li 2.67, 3 Rh 2.67, 3 Re 2.84
Re (0.0000, 0.0000, 0.0000)  6 Re 2.67, 6 Li 2.84
Rh (0.5000, 0.5000, 0.5000)  6 Rh 2.67, 6 Li 2.67


Entry 8:
A relaxed structure of Li3ReRh. Source: the Alexandria database, functional GGA-PBE.

- Calculated formation energy: 29.8 kcal/mol of atoms
- Space-group type: Pm-3m
- Size of the total moment: 0.00 μB per cell

a b c (Å): 4.1825 4.1825 4.1825
angles (deg): 90.00 90.00 90.00
Closest atoms and distances in Å follow each position.
Fractional coordinates of all 5 atoms:
Li (0.0000, 0.0000, 0.5000)  2 Rh 2.09
Li (0.0000, 0.5000, 0.0000)  2 Rh 2.09
Li (0.5000, 0.0000, 0.0000)  2 Rh 2.09
Re (0.5000, 0.5000, 0.5000)  12 Li 2.96
Rh (0.0000, 0.0000, 0.0000)  6 Li 2.09